A plane-wave DFT calculation with SCAN was carried out for a PBEsol-optimized structure of Zn2SiPb.

a b c (Å): 8.2496 8.2496 8.2496
angles (deg): 23.52 23.52 23.52
Closest atoms and distances in Å follow each position.
Element x y z (fractional)
Zn 0.0000 0.0000 0.0000  3 Zn 2.58
Zn 0.2627 0.2627 0.2627  3 Si 2.56, 3 Zn 2.58
Si 0.5269 0.5269 0.5269  3 Zn 2.56
Pb 0.7646 0.7646 0.7646  3 Si 3.01, 3 Zn 3.05, 6 Pb 3.36

Results
Uncorrected formation energy (kJ per mole of atoms): 40.8
DFT total energy (Ha/atom): -1.021